This record from Alexandria describes an optimized crystal structure of Tb3LuF. The functional is PBE.

Cell and atoms, written as POSCAR:
```
Tb3LuF
1.0
-3.785 -3.295 0.159
3.149 -3.538 1.664
-0.980 1.354 4.734
F Tb Lu
1 3 1
direct
0.000 0.000 0.000
0.500 0.000 0.000
0.000 0.000 0.500
0.000 0.500 0.000
0.500 0.500 0.500
```

Results
- Formation energy from raw total energies: -0.9350 eV/atom
- DOS at the Fermi energy: 4.8 states/eV/cell
- Calculated total energy: -24.958 eV per cell

---

This record from Alexandria describes an optimized crystal structure of LuTeF. The functional is PBE.

Cell and atoms, written as POSCAR:
```
LuTeF
1.0
4.275 0.000 0.000
0.000 4.047 0.000
0.000 -2.023 3.505
Te Lu F
1 1 1
direct
0.667 0.333 0.667
0.167 0.667 0.333
0.167 0.000 0.000
```

Results
- Formation energy from raw total energies: -2.4602 eV/atom
- Calculated total energy: -16.915 eV per cell

---

This record from Alexandria describes an optimized crystal structure of Lu2TlF. The functional is PBE.

Cell and atoms, written as POSCAR:
```
Lu2TlF
1.0
4.738 0.000 0.000
2.369 4.104 0.000
2.369 1.368 6.710
Lu F Tl
2 1 1
direct
0.895 0.895 0.314
0.105 0.105 0.686
0.000 0.000 0.000
0.500 0.500 0.500
```

Results
- Formation energy from raw total energies: -1.2803 eV/atom
- DOS at the Fermi energy: 0.0 states/eV/cell
- Calculated total energy: -18.401 eV per cell